K2PmHg2O4: optimized geometry, PBE.

a = 3.572 Å, b = 8.059 Å, c = 11.075 Å
α = 143.09°, β = 90.00°, γ = 102.80°
Element x y z (fractional)
Pm: 0.000 0.000 0.000
O: 0.454 0.907 0.808
K: 0.127 0.253 0.471
Hg: 0.284 0.568 0.944
O: 0.256 0.512 0.232
K: 0.873 0.747 0.529
O: 0.546 0.093 0.192
O: 0.744 0.488 0.768
Hg: 0.716 0.432 0.056

Computed properties:
symmetry = No. 12
VASP energy = -4.49 eV/atom

---

K3Pm2HgO6: optimized geometry, PBE.

a = 6.190 Å, b = 6.190 Å, c = 6.631 Å
α = 98.87°, β = 98.87°, γ = 119.98°
Element x y z (fractional)
Hg: 0.000 0.000 0.000
O: 0.277 0.277 0.802
K: 0.500 0.500 0.500
K: 0.840 0.160 0.500
Pm: 0.333 0.667 0.000
Pm: 0.667 0.333 0.000
O: 0.410 0.066 0.200
O: 0.723 0.723 0.198
K: 0.160 0.840 0.500
O: 0.066 0.410 0.200
O: 0.590 0.934 0.800
O: 0.934 0.590 0.800

Computed properties:
symmetry = No. 12
VASP energy = -5.50 eV/atom

---

KPmHg2O4: optimized geometry, PBE.

a = 6.188 Å, b = 5.904 Å, c = 5.904 Å
α = 69.35°, β = 58.39°, γ = 58.39°
Element x y z (fractional)
Hg: 0.792 0.708 0.708
O: 0.530 0.526 0.856
O: 0.470 0.144 0.474
Hg: 0.208 0.292 0.292
O: 0.088 0.856 0.526
Pm: 0.500 0.500 0.500
O: 0.912 0.474 0.144
K: 0.000 0.000 0.000

Computed properties:
symmetry = No. 23
VASP energy = -4.70 eV/atom

---

K2HgPtO: optimized geometry, PBE.

a = 5.760 Å, b = 5.760 Å, c = 3.931 Å
α = 90.00°, β = 90.00°, γ = 90.00°
Element x y z (fractional)
K: 0.500 0.000 0.000
Pt: 0.000 0.000 0.500
O: 0.000 0.000 0.000
Hg: 0.500 0.500 0.500
K: 0.000 0.500 0.000

Computed properties:
symmetry = No. 123
VASP energy = -3.24 eV/atom

---

K6Hg2PtO: optimized geometry, PBE.

a = 8.203 Å, b = 8.203 Å, c = 8.225 Å
α = 120.11°, β = 120.11°, γ = 89.96°
Element x y z (fractional)
K: 0.770 0.770 0.540
Hg: 0.249 0.751 0.499
Pt: 0.500 0.500 0.000
K: 0.771 0.230 0.000
K: 0.770 0.771 0.000
K: 0.230 0.771 0.000
K: 0.230 0.230 0.459
O: 0.000 0.000 0.000
K: 0.230 0.230 0.000
Hg: 0.751 0.249 0.499

Computed properties:
symmetry = No. 71
VASP energy = -2.16 eV/atom

---

K4Pu3HgO12: optimized geometry, PBE.

a = 7.455 Å, b = 7.455 Å, c = 7.455 Å
α = 109.47°, β = 109.47°, γ = 109.47°
Element x y z (fractional)
Pu: 0.500 0.500 0.000
Hg: 0.000 0.000 0.000
O: 0.275 0.000 0.275
O: 0.500 0.750 0.250
O: 0.750 0.500 0.250
O: 0.725 0.000 0.725
K: 0.000 0.500 0.000
O: 0.250 0.750 0.500
O: 0.000 0.275 0.275
O: 0.250 0.500 0.750
O: 0.500 0.250 0.750
Pu: 0.000 0.500 0.500
Pu: 0.500 0.000 0.500
K: 0.500 0.000 0.000
K: 0.000 0.000 0.500
K: 0.500 0.500 0.500
O: 0.750 0.250 0.500
O: 0.275 0.275 0.000
O: 0.725 0.725 0.000
O: 0.000 0.725 0.725

Computed properties:
symmetry = No. 229
VASP energy = -7.55 eV/atom

---

KPuHg2O6: optimized geometry, PBE.

a = 6.140 Å, b = 6.137 Å, c = 6.195 Å
α = 90.02°, β = 119.71°, γ = 120.00°
Element x y z (fractional)
O: 0.175 0.353 0.215
O: 0.408 0.054 0.215
O: 0.818 0.642 0.746
Hg: 0.541 0.770 0.296
Pu: 0.997 0.998 0.980
K: 0.997 0.498 0.480
O: 0.876 0.821 0.215
O: 0.117 0.175 0.745
Hg: 0.452 0.226 0.664
O: 0.585 0.941 0.745

Computed properties:
symmetry = No. 148
VASP energy = -5.95 eV/atom

---

K2PuHgO6: optimized geometry, PBE.

a = 6.124 Å, b = 6.124 Å, c = 6.123 Å
α = 59.99°, β = 59.99°, γ = 89.99°
Element x y z (fractional)
O: 0.729 0.729 0.542
O: 0.729 0.271 0.000
O: 0.729 0.729 0.000
K: 0.750 0.250 0.500
Pu: 0.500 0.500 0.000
O: 0.271 0.271 0.000
Hg: 0.000 0.000 0.000
O: 0.271 0.729 0.000
O: 0.271 0.271 0.458
K: 0.250 0.750 0.500

Computed properties:
symmetry = No. 225
VASP energy = -6.29 eV/atom

---

K2PuHg2O6: optimized geometry, PBE.

a = 6.003 Å, b = 6.003 Å, c = 7.031 Å
α = 106.16°, β = 106.16°, γ = 109.03°
Element x y z (fractional)
O: 0.241 0.241 0.368
K: 0.185 0.815 0.000
O: 0.314 0.022 0.724
Hg: 0.666 0.334 0.500
Hg: 0.334 0.666 0.500
Pu: 0.000 0.000 0.500
K: 0.815 0.185 0.000
O: 0.978 0.686 0.276
O: 0.759 0.759 0.632
O: 0.022 0.314 0.724
O: 0.686 0.978 0.276

Computed properties:
symmetry = No. 12
VASP energy = -5.72 eV/atom

---

K8RbHgO2: optimized geometry, PBE.

a = 8.639 Å, b = 8.780 Å, c = 12.803 Å
α = 59.25°, β = 70.28°, γ = 60.53°
Element x y z (fractional)
K: 0.427 0.019 0.684
Hg: 0.500 0.500 0.500
Rb: 0.000 0.000 0.000
O: 0.287 0.194 0.231
O: 0.713 0.806 0.769
K: 0.672 0.664 0.991
K: 0.573 0.981 0.316
K: 0.126 0.425 0.323
K: 0.328 0.336 0.009
K: 0.130 0.981 0.316
K: 0.874 0.575 0.677
K: 0.870 0.019 0.684

Computed properties:
symmetry = No. 12
VASP energy = -2.13 eV/atom

---

K6Rb2Hg3O: optimized geometry, PBE.

a = 7.727 Å, b = 7.877 Å, c = 10.300 Å
α = 112.48°, β = 91.52°, γ = 90.00°
Element x y z (fractional)
K: 0.747 0.905 0.810
O: 0.500 0.000 0.000
K: 0.666 0.839 0.147
Rb: 0.103 0.697 0.394
Hg: 0.500 0.500 0.500
Rb: 0.897 0.303 0.606
K: 0.334 0.161 0.853
K: 0.666 0.307 0.147
Hg: 0.500 0.000 0.500
Hg: 0.000 0.500 0.000
K: 0.253 0.095 0.190
K: 0.334 0.693 0.853

Computed properties:
symmetry = No. 12
VASP energy = -1.55 eV/atom

---

K7Rb2HgO2: optimized geometry, PBE.

a = 8.433 Å, b = 8.433 Å, c = 12.004 Å
α = 69.44°, β = 69.44°, γ = 60.00°
Element x y z (fractional)
K: 0.059 0.046 0.308
K: 0.587 0.059 0.308
K: 0.413 0.954 0.692
K: 0.954 0.941 0.692
K: 0.046 0.587 0.308
Rb: 0.629 0.629 0.112
O: 0.078 0.078 0.767
Rb: 0.371 0.371 0.888
K: 0.000 0.000 0.000
Hg: 0.500 0.500 0.500
K: 0.941 0.413 0.692
O: 0.922 0.922 0.233

Computed properties:
symmetry = No. 155
VASP energy = -2.12 eV/atom

---

K2Rb2HgO: optimized geometry, PBE.

a = 7.481 Å, b = 8.579 Å, c = 10.138 Å
α = 115.03°, β = 111.65°, γ = 90.00°
Element x y z (fractional)
K: 0.933 0.278 0.866
Hg: 0.250 0.000 0.000
Hg: 0.750 0.000 0.000
Rb: 0.354 0.114 0.708
Rb: 0.146 0.406 0.292
Rb: 0.854 0.594 0.708
Rb: 0.646 0.886 0.292
K: 0.567 0.412 0.134
O: 0.750 0.500 0.000
K: 0.067 0.722 0.134
K: 0.433 0.588 0.866
O: 0.250 0.500 0.000

Computed properties:
symmetry = No. 72
VASP energy = -2.05 eV/atom

---

K2Rb4Hg2O: optimized geometry, PBE.

a = 7.144 Å, b = 8.160 Å, c = 8.160 Å
α = 61.02°, β = 84.02°, γ = 84.02°
Element x y z (fractional)
Hg: 0.779 0.334 0.334
K: 0.756 0.849 0.849
Rb: 0.303 0.155 0.675
Hg: 0.221 0.666 0.666
O: 0.500 0.000 0.000
K: 0.244 0.151 0.151
Rb: 0.697 0.325 0.845
Rb: 0.697 0.845 0.325
Rb: 0.303 0.675 0.155

Computed properties:
symmetry = No. 12
VASP energy = -1.70 eV/atom

---

KRb6HgO: optimized geometry, PBE.

a = 9.124 Å, b = 9.124 Å, c = 8.242 Å
α = 90.06°, β = 89.94°, γ = 59.75°
Element x y z (fractional)
K: 0.001 0.001 0.000
Rb: 0.577 0.072 0.301
Rb: 0.072 0.577 0.699
Rb: 0.576 0.350 0.698
O: 0.333 0.333 0.500
Rb: 0.350 0.074 0.699
Rb: 0.074 0.350 0.301
Rb: 0.350 0.576 0.302
Hg: 0.666 0.666 0.500

Computed properties:
symmetry = No. 5
VASP energy = -1.66 eV/atom

---

KRbHgO2: optimized geometry, PBE.

a = 4.754 Å, b = 5.505 Å, c = 4.754 Å
α = 90.00°, β = 90.00°, γ = 90.00°
Element x y z (fractional)
Hg: 0.000 0.000 0.000
K: 0.500 0.500 0.500
O: 0.500 0.000 0.000
Rb: 0.000 0.500 0.000
O: 0.000 0.000 0.500

Computed properties:
symmetry = No. 123
energy above the most stable polymorph in this dataset = 924.4 meV per atom

---

K2RbHgO: optimized geometry, PBE.

a = 5.439 Å, b = 5.439 Å, c = 5.768 Å
α = 90.00°, β = 90.00°, γ = 90.00°
Element x y z (fractional)
O: 0.000 0.000 0.000
Rb: 0.000 0.000 0.500
Hg: 0.500 0.500 0.500
K: 0.500 0.000 0.000
K: 0.000 0.500 0.000

Computed properties:
symmetry = No. 123
VASP energy = -2.31 eV/atom

---

KRbHgO2: optimized geometry, PBE.

a = 6.534 Å, b = 7.637 Å, c = 8.315 Å
α = 117.34°, β = 90.00°, γ = 90.00°
Element x y z (fractional)
O: 0.744 0.575 0.150
O: 0.256 0.075 0.150
Rb: 0.821 0.750 0.500
O: 0.256 0.425 0.850
K: 0.500 0.250 0.000
Hg: 0.000 0.000 0.000
Rb: 0.179 0.250 0.500
O: 0.744 0.925 0.850
Hg: 0.000 0.500 0.000
K: 0.500 0.750 0.000

Computed properties:
symmetry = No. 67
energy above the most stable polymorph in this dataset = 0.0 meV per atom

---

KRb2HgO2: optimized geometry, PBE.

a = 4.277 Å, b = 6.376 Å, c = 12.583 Å
α = 90.00°, β = 90.00°, γ = 90.00°
Element x y z (fractional)
O: 0.500 0.246 0.609
O: 0.000 0.746 0.891
Rb: 0.000 0.594 0.268
Rb: 0.500 0.906 0.768
Rb: 0.500 0.094 0.232
Rb: 0.000 0.406 0.732
O: 0.000 0.254 0.109
K: 0.000 0.000 0.500
Hg: 0.500 0.500 0.500
O: 0.500 0.754 0.391
K: 0.500 0.500 0.000
Hg: 0.000 0.000 0.000

Computed properties:
symmetry = No. 58
VASP energy = -3.01 eV/atom

---

K6Rb2HgO: optimized geometry, PBE.

a = 7.985 Å, b = 7.985 Å, c = 10.844 Å
α = 111.60°, β = 111.60°, γ = 89.91°
Element x y z (fractional)
K: 0.692 0.692 0.385
K: 0.237 0.237 0.031
K: 0.794 0.236 0.030
Hg: 0.391 0.391 0.780
O: 0.047 0.047 0.093
Rb: 0.814 0.313 0.627
Rb: 0.313 0.814 0.627
K: 0.795 0.795 0.032
K: 0.182 0.183 0.363
K: 0.236 0.794 0.030

Computed properties:
symmetry = No. 8
VASP energy = -1.71 eV/atom